(1)
{"formula": "Sr3Tc5", "functional": "PBE", "state": "relaxed", "total_magnetization_mub_per_cell": 1.899, "energy_ev_per_cell": -101.14, "space_group": "P6_3/mcm (193)", "vol_a3_per_cell": 444.7, "cell": [[10.667, 0.000, 0.000], [-5.333, 9.238, 0.000], [0.000, 0.000, 4.512]], "species": ["Sr", "Sr", "Sr", "Sr", "Sr", "Sr", "Tc", "Tc", "Tc", "Tc", "Tc", "Tc", "Tc", "Tc", "Tc", "Tc"], "frac_coords": [[0.000, 0.364, 0.250], [0.000, 0.636, 0.750], [0.364, 0.000, 0.250], [0.364, 0.364, 0.750], [0.636, 0.000, 0.750], [0.636, 0.636, 0.250], [0.000, 0.134, 0.750], [0.000, 0.866, 0.250], [0.134, 0.000, 0.750], [0.134, 0.134, 0.250], [0.333, 0.667, 0.000], [0.333, 0.667, 0.500], [0.667, 0.333, 0.000], [0.667, 0.333, 0.500], [0.866, 0.000, 0.250], [0.866, 0.866, 0.750]]}

(2)
{"formula": "CaRe2Pb", "functional": "PBE", "state": "relaxed", "total_magnetization_mub_per_cell": 0.001, "energy_ev_per_cell": -29.62, "space_group": "P4mm (99)", "vol_a3_per_cell": 85.0, "cell": [[3.155, 0.000, 0.000], [0.000, 3.155, 0.000], [0.000, 0.000, 8.540]], "species": ["Ca", "Re", "Re", "Pb"], "frac_coords": [[0.000, 0.000, 0.000], [0.000, 0.000, 0.587], [0.500, 0.500, 0.742], [0.500, 0.500, 0.332]]}

(3)
{"formula": "La4Y4Al", "functional": "PBE", "state": "relaxed", "total_magnetization_mub_per_cell": 0.000, "energy_ev_per_cell": -47.33, "space_group": "I222 (23)", "vol_a3_per_cell": 309.0, "cell": [[-3.200, 4.259, 5.669], [3.200, -4.259, 5.669], [3.200, 4.259, -5.669]], "species": ["La", "La", "La", "La", "Y", "Y", "Y", "Y", "Al"], "frac_coords": [[0.000, 0.000, 0.000], [0.334, 0.500, 0.834], [0.500, 0.000, 0.500], [0.666, 0.500, 0.166], [0.105, 0.522, 0.145], [0.377, 0.960, 0.855], [0.623, 0.478, 0.583], [0.895, 0.040, 0.417], [0.000, 0.500, 0.500]]}

(4)
{"formula": "CaSb2O4", "functional": "PBE", "state": "relaxed", "total_magnetization_mub_per_cell": 0.000, "energy_ev_per_cell": -85.29, "space_group": "I-4 (82)", "e_form_raw_ev_per_atom": -1.795, "vol_a3_per_cell": 243.9, "cell": [[-3.743, 3.743, 4.351], [3.743, -3.743, 4.351], [3.743, 3.743, -4.351]], "species": ["Ca", "Ca", "Sb", "Sb", "Sb", "Sb", "O", "O", "O", "O", "O", "O", "O", "O"], "frac_coords": [[0.000, 0.000, 0.000], [0.750, 0.250, 0.500], [0.310, 0.562, 0.188], [0.374, 0.122, 0.812], [0.438, 0.626, 0.748], [0.878, 0.690, 0.252], [0.038, 0.292, 0.865], [0.072, 0.835, 0.634], [0.165, 0.799, 0.237], [0.201, 0.438, 0.366], [0.427, 0.173, 0.135], [0.562, 0.928, 0.763], [0.708, 0.573, 0.746], [0.827, 0.962, 0.254]]}

(5)
{"formula": "VFe4Si2", "functional": "PBE", "state": "relaxed", "total_magnetization_mub_per_cell": 12.306, "energy_ev_per_cell": -97.65, "space_group": "I4/mmm (139)", "e_form_raw_ev_per_atom": 0.713, "vol_a3_per_cell": 204.2, "cell": [[4.078, 0.000, 0.000], [0.000, 4.078, 0.000], [0.000, 0.000, 12.280]], "species": ["V", "V", "Fe", "Fe", "Fe", "Fe", "Fe", "Fe", "Fe", "Fe", "Si", "Si", "Si", "Si"], "frac_coords": [[0.000, 0.000, 0.000], [0.500, 0.500, 0.500], [0.000, 0.000, 0.193], [0.000, 0.000, 0.807], [0.000, 0.500, 0.000], [0.000, 0.500, 0.500], [0.500, 0.000, 0.000], [0.500, 0.000, 0.500], [0.500, 0.500, 0.307], [0.500, 0.500, 0.693], [0.000, 0.000, 0.382], [0.000, 0.000, 0.618], [0.500, 0.500, 0.118], [0.500, 0.500, 0.882]]}

(6)
{"formula": "Sr3NpCu2S6", "functional": "PBE", "state": "relaxed", "total_magnetization_mub_per_cell": 3.001, "energy_ev_per_cell": -65.11, "space_group": "P-3m1 (164)", "e_form_raw_ev_per_atom": -1.181, "vol_a3_per_cell": 341.9, "cell": [[7.247, 0.000, 0.000], [-3.624, 6.276, 0.000], [0.000, 0.000, 7.517]], "species": ["Sr", "Sr", "Sr", "Np", "Cu", "Cu", "S", "S", "S", "S", "S", "S"], "frac_coords": [[0.000, 0.000, 0.000], [0.333, 0.667, 0.600], [0.667, 0.333, 0.400], [0.000, 0.000, 0.500], [0.333, 0.667, 0.196], [0.667, 0.333, 0.804], [0.166, 0.333, 0.286], [0.166, 0.834, 0.286], [0.333, 0.166, 0.714], [0.667, 0.834, 0.286], [0.834, 0.166, 0.714], [0.834, 0.667, 0.714]]}

(7)
{"formula": "Cs2Hg3Pb5", "functional": "PBE", "state": "relaxed", "total_magnetization_mub_per_cell": 0.000, "energy_ev_per_cell": -44.82, "space_group": "Ibam (72)", "vol_a3_per_cell": 730.3, "cell": [[-6.362, 7.596, 3.778], [6.362, -7.596, 3.778], [6.362, 7.596, -3.778]], "species": ["Cs", "Cs", "Cs", "Cs", "Hg", "Hg", "Hg", "Hg", "Hg", "Hg", "Pb", "Pb", "Pb", "Pb", "Pb", "Pb", "Pb", "Pb", "Pb", "Pb"], "frac_coords": [[0.123, 0.242, 0.364], [0.377, 0.742, 0.119], [0.623, 0.258, 0.881], [0.877, 0.758, 0.636], [0.119, 0.639, 0.758], [0.250, 0.250, 0.000], [0.381, 0.139, 0.520], [0.619, 0.861, 0.480], [0.750, 0.750, 0.000], [0.881, 0.361, 0.242], [0.011, 0.750, 0.261], [0.128, 0.876, 0.004], [0.250, 0.750, 0.500], [0.372, 0.376, 0.748], [0.489, 0.750, 0.739], [0.511, 0.250, 0.261], [0.628, 0.624, 0.252], [0.750, 0.250, 0.500], [0.872, 0.124, 0.996], [0.989, 0.250, 0.739]]}

(8)
{"formula": "Er3MnRh8", "functional": "PBE", "state": "relaxed", "total_magnetization_mub_per_cell": 4.536, "energy_ev_per_cell": -88.46, "space_group": "R3m (160)", "vol_a3_per_cell": 206.7, "cell": [[2.632, 1.520, 8.613], [-2.632, 1.520, 8.613], [0.000, -3.039, 8.613]], "species": ["Er", "Er", "Er", "Mn", "Rh", "Rh", "Rh", "Rh", "Rh", "Rh", "Rh", "Rh"], "frac_coords": [[0.000, 0.000, 0.000], [0.129, 0.129, 0.129], [0.618, 0.618, 0.618], [0.495, 0.495, 0.495], [0.061, 0.061, 0.562], [0.061, 0.562, 0.061], [0.063, 0.562, 0.562], [0.312, 0.312, 0.312], [0.562, 0.061, 0.061], [0.562, 0.063, 0.562], [0.562, 0.562, 0.063], [0.812, 0.812, 0.812]]}

(9)
{"formula": "HfCdFe2Ru", "functional": "PBE", "state": "relaxed", "total_magnetization_mub_per_cell": 5.956, "energy_ev_per_cell": -27.79, "space_group": "P4/mmm (123)", "vol_a3_per_cell": 108.2, "cell": [[4.568, 0.000, 0.000], [0.000, 4.568, 0.000], [0.000, 0.000, 5.184]], "species": ["Hf", "Cd", "Fe", "Fe", "Ru"], "frac_coords": [[0.000, 0.000, 0.000], [0.000, 0.000, 0.500], [0.000, 0.500, 0.500], [0.500, 0.000, 0.500], [0.500, 0.500, 0.000]]}

(10)
{"formula": "Pr3NpPa3N8", "functional": "PBE", "state": "relaxed", "total_magnetization_mub_per_cell": 2.731, "energy_ev_per_cell": -142.98, "space_group": "R-3m (166)", "e_form_raw_ev_per_atom": -1.374, "vol_a3_per_cell": 255.7, "cell": [[3.563, 2.057, 5.815], [-3.563, 2.057, 5.815], [0.000, -4.114, 5.815]], "species": ["Pr", "Pr", "Pr", "Np", "Pa", "Pa", "Pa", "N", "N", "N", "N", "N", "N", "N", "N"], "frac_coords": [[0.000, 0.500, 0.500], [0.500, 0.000, 0.500], [0.500, 0.500, 0.000], [0.500, 0.500, 0.500], [0.000, 0.000, 0.500], [0.000, 0.500, 0.000], [0.500, 0.000, 0.000], [0.236, 0.236, 0.236], [0.242, 0.724, 0.724], [0.276, 0.276, 0.758], [0.276, 0.758, 0.276], [0.724, 0.242, 0.724], [0.724, 0.724, 0.242], [0.758, 0.276, 0.276], [0.764, 0.764, 0.764]]}

(11)
{"formula": "La2Nd6Sm3Y", "functional": "PBE", "state": "relaxed", "total_magnetization_mub_per_cell": 0.000, "energy_ev_per_cell": -58.90, "space_group": "C2/m (12)", "vol_a3_per_cell": 420.4, "cell": [[3.182, -5.509, 0.000], [3.182, 5.509, 0.000], [-2.138, 0.000, 11.993]], "species": ["La", "La", "Nd", "Nd", "Nd", "Nd", "Nd", "Nd", "Sm", "Sm", "Sm", "Y"], "frac_coords": [[0.167, 0.833, 0.000], [0.833, 0.167, 0.000], [0.083, 0.416, 0.748], [0.252, 0.252, 0.253], [0.416, 0.083, 0.748], [0.584, 0.917, 0.252], [0.748, 0.748, 0.747], [0.917, 0.584, 0.252], [0.000, 0.000, 0.500], [0.334, 0.666, 0.500], [0.666, 0.334, 0.500], [0.500, 0.500, 0.000]]}

(12)
{"formula": "ScPdRh2Br", "functional": "PBE", "state": "relaxed", "total_magnetization_mub_per_cell": 1.346, "energy_ev_per_cell": -24.04, "space_group": "P4/mmm (123)", "e_form_raw_ev_per_atom": 0.772, "vol_a3_per_cell": 112.7, "cell": [[4.856, 0.000, 0.000], [0.000, 4.856, 0.000], [0.000, 0.000, 4.781]], "species": ["Sc", "Pd", "Rh", "Rh", "Br"], "frac_coords": [[0.000, 0.000, 0.000], [0.500, 0.500, 0.500], [0.000, 0.500, 0.500], [0.500, 0.000, 0.500], [0.500, 0.500, 0.000]]}

(13)
{"formula": "ZrZn2In", "functional": "PBE", "state": "relaxed", "total_magnetization_mub_per_cell": 0.000, "energy_ev_per_cell": -41.05, "space_group": "R-3m (166)", "vol_a3_per_cell": 243.3, "cell": [[3.107, 0.000, 0.000], [-1.553, 2.690, 0.000], [0.000, 0.000, 29.112]], "species": ["Zr", "Zr", "Zr", "Zn", "Zn", "Zn", "Zn", "Zn", "Zn", "In", "In", "In"], "frac_coords": [[0.000, 0.000, 0.000], [0.333, 0.667, 0.667], [0.667, 0.333, 0.333], [0.000, 0.000, 0.251], [0.000, 0.000, 0.749], [0.333, 0.667, 0.416], [0.333, 0.667, 0.918], [0.667, 0.333, 0.082], [0.667, 0.333, 0.584], [0.000, 0.000, 0.500], [0.333, 0.667, 0.167], [0.667, 0.333, 0.833]]}

(14)
{"formula": "SrB2W", "functional": "PBE", "state": "relaxed", "total_magnetization_mub_per_cell": 0.000, "energy_ev_per_cell": -88.91, "space_group": "Fm-3m (225)", "vol_a3_per_cell": 234.2, "cell": [[6.164, 0.000, 0.000], [0.000, 6.164, 0.000], [0.000, 0.000, 6.164]], "species": ["Sr", "Sr", "Sr", "Sr", "B", "B", "B", "B", "B", "B", "B", "B", "W", "W", "W", "W"], "frac_coords": [[0.000, 0.000, 0.000], [0.000, 0.500, 0.500], [0.500, 0.000, 0.500], [0.500, 0.500, 0.000], [0.250, 0.250, 0.250], [0.250, 0.250, 0.750], [0.250, 0.750, 0.250], [0.250, 0.750, 0.750], [0.750, 0.250, 0.250], [0.750, 0.250, 0.750], [0.750, 0.750, 0.250], [0.750, 0.750, 0.750], [0.000, 0.000, 0.500], [0.000, 0.500, 0.000], [0.500, 0.000, 0.000], [0.500, 0.500, 0.500]]}

(15)
{"formula": "Pr2InSi3Pt4", "functional": "PBE", "state": "relaxed", "total_magnetization_mub_per_cell": 0.000, "energy_ev_per_cell": -62.64, "space_group": "P-4m2 (115)", "e_form_raw_ev_per_atom": -0.991, "vol_a3_per_cell": 192.9, "cell": [[4.336, 0.000, 0.000], [0.000, 4.336, 0.000], [0.000, 0.000, 10.261]], "species": ["Pr", "Pr", "In", "Si", "Si", "Si", "Pt", "Pt", "Pt", "Pt"], "frac_coords": [[0.000, 0.500, 0.245], [0.500, 0.000, 0.755], [0.000, 0.000, 0.500], [0.000, 0.500, 0.879], [0.500, 0.000, 0.121], [0.500, 0.500, 0.500], [0.000, 0.000, 0.000], [0.000, 0.500, 0.647], [0.500, 0.000, 0.353], [0.500, 0.500, 0.000]]}

(16)
{"formula": "YZr4As", "functional": "PBE", "state": "relaxed", "total_magnetization_mub_per_cell": 0.000, "energy_ev_per_cell": -43.81, "space_group": "F-43m (216)", "vol_a3_per_cell": 145.5, "cell": [[0.000, 4.174, 4.174], [4.174, 0.000, 4.174], [4.174, 4.174, 0.000]], "species": ["Y", "Zr", "Zr", "Zr", "Zr", "As"], "frac_coords": [[0.000, 0.000, 0.000], [0.116, 0.628, 0.628], [0.628, 0.116, 0.628], [0.628, 0.628, 0.116], [0.628, 0.628, 0.628], [0.250, 0.250, 0.250]]}

(17)
{"formula": "KNa2Li", "functional": "PBE", "state": "relaxed", "total_magnetization_mub_per_cell": 0.000, "energy_ev_per_cell": -5.25, "space_group": "P4/mmm (123)", "vol_a3_per_cell": 163.0, "cell": [[5.461, 0.000, 0.000], [0.000, 5.461, 0.000], [0.000, 0.000, 5.466]], "species": ["K", "Na", "Na", "Li"], "frac_coords": [[0.000, 0.000, 0.000], [0.000, 0.500, 0.500], [0.500, 0.000, 0.500], [0.500, 0.500, 0.000]]}

(18)
{"formula": "MgSbOs2", "functional": "PBE", "state": "relaxed", "total_magnetization_mub_per_cell": 0.000, "energy_ev_per_cell": -50.28, "space_group": "Cmmm (65)", "e_form_raw_ev_per_atom": 0.759, "vol_a3_per_cell": 137.8, "cell": [[3.082, 0.000, 0.000], [0.000, 5.009, 0.000], [0.000, 0.000, 8.925]], "species": ["Mg", "Mg", "Sb", "Sb", "Os", "Os", "Os", "Os"], "frac_coords": [[0.000, 0.000, 0.000], [0.500, 0.500, 0.000], [0.000, 0.000, 0.500], [0.500, 0.500, 0.500], [0.000, 0.500, 0.250], [0.000, 0.500, 0.750], [0.500, 0.000, 0.250], [0.500, 0.000, 0.750]]}

(19)
{"formula": "NpN2", "functional": "PBE", "state": "relaxed", "total_magnetization_mub_per_cell": 2.001, "energy_ev_per_cell": -64.08, "space_group": "P4_2/mnm (136)", "e_form_raw_ev_per_atom": -0.816, "vol_a3_per_cell": 83.7, "cell": [[4.915, 0.000, 0.000], [0.000, 4.915, 0.000], [0.000, 0.000, 3.463]], "species": ["Np", "Np", "N", "N", "N", "N"], "frac_coords": [[0.000, 0.000, 0.000], [0.500, 0.500, 0.500], [0.181, 0.181, 0.500], [0.319, 0.681, 0.000], [0.681, 0.319, 0.000], [0.819, 0.819, 0.500]]}

(20)
{"formula": "In5Sn2Hg2", "functional": "PBE", "state": "relaxed", "total_magnetization_mub_per_cell": 0.000, "energy_ev_per_cell": -43.55, "space_group": "Ima2 (46)", "vol_a3_per_cell": 497.7, "cell": [[-7.110, 3.171, 5.519], [7.110, -3.171, 5.519], [7.110, 3.171, -5.519]], "species": ["In", "In", "In", "In", "In", "In", "In", "In", "In", "In", "Sn", "Sn", "Sn", "Sn", "Hg", "Hg", "Hg", "Hg"], "frac_coords": [[0.067, 0.100, 0.468], [0.204, 0.070, 0.274], [0.204, 0.430, 0.635], [0.232, 0.570, 0.948], [0.232, 0.785, 0.163], [0.622, 0.070, 0.837], [0.622, 0.285, 0.052], [0.632, 0.600, 0.532], [0.796, 0.570, 0.365], [0.796, 0.930, 0.726], [0.101, 0.387, 0.214], [0.173, 0.887, 0.786], [0.246, 0.246, 0.000], [0.246, 0.746, 0.500], [0.658, 0.083, 0.351], [0.658, 0.808, 0.076], [0.732, 0.308, 0.649], [0.732, 0.583, 0.924]]}

(21)
{"formula": "Cs2Pb3O6", "functional": "PBE", "state": "relaxed", "total_magnetization_mub_per_cell": 0.000, "energy_ev_per_cell": -54.43, "space_group": "C2/m (12)", "e_form_raw_ev_per_atom": -1.077, "vol_a3_per_cell": 231.8, "cell": [[3.060, -5.349, 0.000], [3.060, 5.349, 0.000], [-1.863, 0.000, 7.080]], "species": ["Cs", "Cs", "Pb", "Pb", "Pb", "O", "O", "O", "O", "O", "O"], "frac_coords": [[0.164, 0.836, 0.000], [0.836, 0.164, 0.000], [0.000, 0.000, 0.500], [0.335, 0.665, 0.500], [0.665, 0.335, 0.500], [0.045, 0.418, 0.667], [0.316, 0.316, 0.333], [0.418, 0.045, 0.667], [0.582, 0.955, 0.333], [0.684, 0.684, 0.667], [0.955, 0.582, 0.333]]}

(22)
{"formula": "KCuO2F", "functional": "PBE", "state": "relaxed", "total_magnetization_mub_per_cell": 1.701, "energy_ev_per_cell": -21.87, "space_group": "P4/mmm (123)", "e_form_raw_ev_per_atom": -0.978, "vol_a3_per_cell": 66.3, "cell": [[3.734, 0.000, 0.000], [0.000, 3.734, 0.000], [0.000, 0.000, 4.755]], "species": ["K", "Cu", "O", "O", "F"], "frac_coords": [[0.000, 0.000, 0.000], [0.500, 0.500, 0.500], [0.000, 0.500, 0.500], [0.500, 0.000, 0.500], [0.500, 0.500, 0.000]]}

(23)
{"formula": "TbPmSmTh", "functional": "PBE", "state": "relaxed", "total_magnetization_mub_per_cell": 0.017, "energy_ev_per_cell": -82.91, "space_group": "F-43m (216)", "vol_a3_per_cell": 531.8, "cell": [[8.102, 0.000, 0.000], [0.000, 8.102, 0.000], [0.000, 0.000, 8.102]], "species": ["Tb", "Tb", "Tb", "Tb", "Pm", "Pm", "Pm", "Pm", "Sm", "Sm", "Sm", "Sm", "Th", "Th", "Th", "Th"], "frac_coords": [[0.000, 0.000, 0.000], [0.000, 0.500, 0.500], [0.500, 0.000, 0.500], [0.500, 0.500, 0.000], [0.250, 0.250, 0.750], [0.250, 0.750, 0.250], [0.750, 0.250, 0.250], [0.750, 0.750, 0.750], [0.250, 0.250, 0.250], [0.250, 0.750, 0.750], [0.750, 0.250, 0.750], [0.750, 0.750, 0.250], [0.000, 0.000, 0.500], [0.000, 0.500, 0.000], [0.500, 0.000, 0.000], [0.500, 0.500, 0.500]]}

(24)
{"formula": "CrRe2As", "functional": "PBE", "state": "relaxed", "total_magnetization_mub_per_cell": 0.001, "energy_ev_per_cell": -114.70, "space_group": "R3m (160)", "vol_a3_per_cell": 173.2, "cell": [[2.820, 0.000, 0.000], [-1.410, 2.442, 0.000], [0.000, 0.000, 25.154]], "species": ["Cr", "Cr", "Cr", "Re", "Re", "Re", "Re", "Re", "Re", "As", "As", "As"], "frac_coords": [[0.000, 0.000, 0.000], [0.333, 0.667, 0.667], [0.667, 0.333, 0.333], [0.000, 0.000, 0.501], [0.000, 0.000, 0.748], [0.333, 0.667, 0.168], [0.333, 0.667, 0.415], [0.667, 0.333, 0.081], [0.667, 0.333, 0.834], [0.000, 0.000, 0.256], [0.333, 0.667, 0.923], [0.667, 0.333, 0.590]]}